# 1
PBE-GGA CsPmRhCl6, relaxed; formation energy from raw total energies = -1.572 eV per atom
1.0
3.438 -5.660 0.000
3.438 5.660 0.000
-0.521 0.000 8.083
Cs Pm Rh Cl
1 1 1 6
direct
0.000 0.000 0.000
0.334 0.666 0.500
0.684 0.316 0.500
0.388 0.323 0.329
0.401 0.001 0.722
0.664 0.004 0.328
0.677 0.612 0.671
0.996 0.336 0.672
0.999 0.599 0.278

***

# 2
PBE-GGA Ca3TmAu4, relaxed; energy relative to the elements = -0.820 eV/atom
1.0
3.612 0.000 0.000
0.000 3.612 0.000
0.000 0.000 14.535
Ca Tm Au
3 1 4
direct
0.000 0.000 0.000
0.000 0.000 0.252
0.000 0.000 0.748
0.000 0.000 0.500
0.500 0.500 0.126
0.500 0.500 0.389
0.500 0.500 0.611
0.500 0.500 0.874

***

# 3
PBE-GGA Co2Te3Pd, relaxed; formation energy from raw total energies = -0.152 eV per atom
1.0
7.248 0.000 0.000
0.000 3.764 0.000
-2.557 0.000 9.633
Co Te Pd
4 6 2
direct
0.037 0.250 0.419
0.407 0.750 0.908
0.593 0.250 0.092
0.963 0.750 0.581
0.047 0.750 0.835
0.260 0.750 0.489
0.404 0.750 0.155
0.596 0.250 0.845
0.740 0.250 0.511
0.953 0.250 0.165
0.228 0.250 0.705
0.772 0.750 0.295

***

# 4
PBE-GGA Nd10Sn3Te3, relaxed; formation energy from raw total energies = -0.901 eV per atom
1.0
9.367 0.000 0.000
-4.683 8.112 0.000
0.000 0.000 6.527
Nd Sn Te
10 3 3
direct
0.000 0.249 0.000
0.000 0.752 0.500
0.248 0.248 0.500
0.249 0.000 0.000
0.333 0.667 0.251
0.333 0.667 0.749
0.667 0.333 0.251
0.667 0.333 0.749
0.751 0.751 0.000
0.752 0.000 0.500
0.000 0.388 0.500
0.388 0.000 0.500
0.612 0.612 0.500
0.000 0.616 0.000
0.384 0.384 0.000
0.616 0.000 0.000

***

no.,final energy (eV per cell)
1,-38.18
2,-30.15
3,-59.49
4,-83.53